The following is a PBE calculation of a geometry-optimized Ag4Pd8Pt3 structure, from the Alexandria database.

The space group is C2/m (No. 12) and the conventional cell measures 10.671, 10.624 and 5.403 Å, with angles of 90.00, 120.08 and 90.00 degrees. The inequivalent atoms are Ag at (0.000, 0.000, 0.000), Ag at (0.000, 0.000, 0.500), Ag at (0.250, 0.250, 0.000), Pd at (0.000, 0.254, 0.500), Pd at (0.000, 0.364, 0.000), Pd at (0.236, 0.500, 0.994), Pd at (0.237, 0.500, 0.485), Pt at (0.000, 0.500, 0.500) and Pt at (0.250, 0.250, 0.500).

Its total DFT energy (no corrections) is -4.457 eV/atom. Its formation energy from the elements is 281 meV per atom. The volume is 529.97 Å³ per cell.